Record 1
Pr3Nd8Th2 (PBE-GGA, optimized geometry); DFT formation energy = 4 kJ per mole of atoms; space group = P-1
1.0
6.362 0.000 0.000
3.149 9.167 0.000
2.095 2.919 15.621
Pr Nd Th
6 16 4
Cartesian
0.000 0.000 0.000
1.052 2.568 2.356
2.111 5.117 4.855
4.228 1.459 7.811
9.494 6.969 10.767
10.553 9.518 13.266
3.155 8.429 3.612
3.166 7.653 7.243
2.125 5.838 1.157
4.236 10.225 9.602
5.260 3.277 13.852
6.309 8.014 5.474
7.362 9.867 11.437
6.338 6.614 12.643
5.267 5.473 2.979
4.244 2.220 4.184
5.297 4.072 10.147
6.346 8.809 1.769
7.369 1.862 6.019
9.481 6.248 14.464
8.439 4.433 8.378
8.450 3.657 12.009
7.359 9.111 15.054
5.293 4.791 6.637
6.313 7.295 8.984
4.247 2.975 0.567


Record 2
Pr3NdTh (PBE-GGA, optimized geometry); DFT formation energy = 2 kJ per mole of atoms; space group = P6_3mc
1.0
3.679 0.000 0.000
-1.839 3.186 0.000
0.000 0.000 30.021
Pr Nd Th
6 2 2
Cartesian
0.000 0.000 0.000
0.000 0.000 15.010
0.000 2.124 3.142
0.000 2.124 23.901
1.839 1.062 8.890
1.839 1.062 18.153
0.000 2.124 12.044
1.839 1.062 27.055
0.000 0.000 6.013
0.000 0.000 21.023


Record 3
Pr6Nd5Th2 (PBE-GGA, optimized geometry); DFT formation energy = 11 kJ per mole of atoms; space group = Pbam
1.0
11.836 0.000 0.000
0.000 21.454 0.000
0.000 0.000 3.675
Pr Nd Th
12 10 4
Cartesian
0.789 3.142 0.000
0.978 9.397 0.000
2.180 18.767 1.837
3.738 8.040 1.837
4.940 20.124 0.000
5.128 13.869 0.000
6.707 7.586 0.000
6.896 1.331 0.000
8.098 13.414 1.837
9.656 2.687 1.837
10.857 12.058 0.000
11.046 18.313 0.000
0.000 0.000 1.837
0.720 6.289 1.837
2.222 12.500 1.837
3.696 1.773 1.837
5.198 17.016 1.837
5.918 10.727 1.837
6.638 4.438 1.837
8.140 19.681 1.837
9.614 8.954 1.837
11.116 15.166 1.837
2.276 15.747 0.000
3.642 5.020 0.000
8.194 16.434 0.000
9.560 5.707 0.000


Record 4
Pr3Nd8Th (PBE-GGA, optimized geometry); DFT formation energy = 6 kJ per mole of atoms; space group = P1
1.0
6.743 0.000 0.000
-2.862 8.236 0.000
-2.871 -3.195 7.601
Pr Nd Th
3 8 1
Cartesian
0.000 0.000 0.000
-2.849 5.333 1.946
0.575 6.681 1.056
-3.790 3.385 5.095
-3.789 0.500 7.014
-1.865 -1.184 4.518
-1.850 1.724 2.599
1.458 0.147 3.640
1.490 3.055 1.639
-0.415 4.704 4.224
0.531 -1.782 6.733
-0.421 1.805 6.139


Record 5
Pr3Nd7Th2 (PBE-GGA, optimized geometry); DFT formation energy = 12 kJ per mole of atoms; space group = P2/m
1.0
6.014 0.000 0.000
0.000 3.650 0.000
-1.067 0.000 19.448
Pr Nd Th
3 7 2
Cartesian
0.000 0.000 0.000
0.967 1.825 12.343
3.980 1.825 7.106
0.983 1.825 2.822
0.970 0.000 8.957
0.975 0.000 15.995
3.007 1.825 0.000
3.972 0.000 3.454
3.977 0.000 10.491
3.964 1.825 16.627
0.990 0.000 5.718
3.957 0.000 13.730


Record 6
PrNd2Th3 (PBE-GGA, optimized geometry); DFT formation energy = 3 kJ per mole of atoms; space group = C2/m
1.0
7.660 -2.547 0.000
7.660 2.547 0.000
-5.101 0.000 10.371
Pr Nd Th
2 4 6
Cartesian
1.279 0.000 1.420
8.941 0.000 8.951
-1.277 0.000 8.947
6.381 0.000 1.427
3.839 0.000 8.944
11.496 0.000 1.424
-1.276 0.000 3.970
1.280 0.000 6.400
3.834 0.000 3.970
6.386 0.000 6.400
8.940 0.000 3.971
11.495 0.000 6.401